{
  "formula": "CdGaOs2",
  "functional": "PBE",
  "state": "relaxed",
  "lattice": [[0.0000, 3.1605, 3.1605], [3.1605, 0.0000, 3.1605], [3.1605, 3.1605, 0.0000]],
  "species": ["Cd", "Ga", "Os", "Os"],
  "frac_coords": [[0.0000, 0.0000, 0.0000], [0.7500, 0.7500, 0.7500], [0.2500, 0.2500, 0.2500], [0.5000, 0.5000, 0.5000]],
  "final_energy_ev_per_atom": -5.95
}